(1)
# Li5Zn3Au3 PBE relaxed
data_Li5Zn3Au3
_chemical_formula_sum 'Li5 Zn3 Au3'
_cell_length_a 8.9367
_cell_length_b 8.9367
_cell_length_c 2.8022
_cell_angle_alpha 90.00
_cell_angle_beta 90.00
_cell_angle_gamma 120.00
_symmetry_space_group_name_H-M 'P -6 2 m'
_symmetry_Int_Tables_number 189
_symmetry_space_group_name_Hall 'P -6 -2'
loop_
_atom_site_label
_atom_site_type_symbol
_atom_site_fract_x
_atom_site_fract_y
_atom_site_fract_z
_atom_site_occupancy
Li1 Li 0.0000 0.6614 0.0000 1
Li2 Li 0.3333 0.6667 0.0000 1
Zn1 Zn 0.0000 0.1645 0.0000 1
Au1 Au 0.0000 0.4157 0.5000 1
# formation energy = -0.259 eV per atom
# crystal system = hexagonal
# total magnetic moment = 0.000 μB/f.u.

---

(2)
# TlTc4Ni PBE relaxed
data_TlTc4Ni
_chemical_formula_sum 'Tl4 Tc16 Ni4'
_cell_length_a 7.316
_cell_length_b 7.316
_cell_length_c 7.316
_cell_angle_alpha 90.00
_cell_angle_beta 90.00
_cell_angle_gamma 90.00
_symmetry_space_group_name_H-M 'F -4 3 m'
_symmetry_Int_Tables_number 216
_symmetry_space_group_name_Hall 'F -4 2 3'
loop_
_atom_site_label
_atom_site_type_symbol
_atom_site_fract_x
_atom_site_fract_y
_atom_site_fract_z
_atom_site_occupancy
Tl1 Tl 0.000 0.000 0.000 1
Tc1 Tc 0.124 0.124 0.376 1
Ni1 Ni 0.250 0.250 0.750 1
# formation energy = 0.668 eV per atom
# crystal system = cubic
# total magnetic moment = 0.005 μB/f.u.

---

(3)
# MgScPd14 PBE relaxed
data_MgScPd14
_chemical_formula_sum 'Mg1 Sc1 Pd14'
_cell_length_a 5.615
_cell_length_b 5.615
_cell_length_c 7.927
_cell_angle_alpha 90.00
_cell_angle_beta 90.00
_cell_angle_gamma 90.00
_symmetry_space_group_name_H-M 'P 4/m m m'
_symmetry_Int_Tables_number 123
_symmetry_space_group_name_Hall '-P 4 2'
loop_
_atom_site_label
_atom_site_type_symbol
_atom_site_fract_x
_atom_site_fract_y
_atom_site_fract_z
_atom_site_occupancy
Mg1 Mg 0.000 0.000 0.000 1
Sc1 Sc 0.500 0.500 0.000 1
Pd1 Pd 0.000 0.000 0.500 1
Pd2 Pd 0.000 0.500 0.000 1
Pd3 Pd 0.000 0.500 0.500 1
Pd4 Pd 0.250 0.250 0.249 1
Pd5 Pd 0.500 0.500 0.500 1
# formation energy = -0.328 eV per atom
# crystal system = tetragonal
# total magnetic moment = 0.002 μB/f.u.

---

(4)
# CaSb2AuI PBE relaxed
data_CaSb2AuI
_chemical_formula_sum 'Ca1 Sb2 Au1 I1'
_cell_length_a 5.892
_cell_length_b 5.892
_cell_length_c 5.717
_cell_angle_alpha 90.00
_cell_angle_beta 90.00
_cell_angle_gamma 90.00
_symmetry_space_group_name_H-M 'P 4/m m m'
_symmetry_Int_Tables_number 123
_symmetry_space_group_name_Hall '-P 4 2'
loop_
_atom_site_label
_atom_site_type_symbol
_atom_site_fract_x
_atom_site_fract_y
_atom_site_fract_z
_atom_site_occupancy
Ca1 Ca 0.000 0.000 0.000 1
Sb1 Sb 0.000 0.500 0.000 1
Au1 Au 0.500 0.500 0.500 1
I1 I 0.000 0.000 0.500 1
# uncorrected formation energy = 558 meV/atom
# crystal system = tetragonal
# energy above the most stable polymorph in this dataset = 0.5264 eV per atom
# total magnetic moment = 0.000 μB/f.u.

---

(5)
# HgB2Ru2 PBE relaxed
data_HgB2Ru2
_chemical_formula_sum 'Hg2 B4 Ru4'
_cell_length_a 2.912
_cell_length_b 2.912
_cell_length_c 14.810
_cell_angle_alpha 90.00
_cell_angle_beta 90.00
_cell_angle_gamma 90.00
_symmetry_space_group_name_H-M 'I 4/m m m'
_symmetry_Int_Tables_number 139
_symmetry_space_group_name_Hall '-I 4 2'
loop_
_atom_site_label
_atom_site_type_symbol
_atom_site_fract_x
_atom_site_fract_y
_atom_site_fract_z
_atom_site_occupancy
Hg1 Hg 0.000 0.000 0.000 1
B1 B 0.000 0.500 0.250 1
Ru1 Ru 0.000 0.000 0.357 1
# formation energy = 0.069 eV per atom
# crystal system = tetragonal
# energy above the most stable polymorph in this dataset = 0.0000 eV per atom
# total magnetic moment = 0.000 μB/f.u.

---

(6)
# BePt2 PBE relaxed
data_BePt2
_chemical_formula_sum 'Be1 Pt2'
_cell_length_a 3.903
_cell_length_b 3.903
_cell_length_c 2.765
_cell_angle_alpha 90.00
_cell_angle_beta 90.00
_cell_angle_gamma 90.00
_symmetry_space_group_name_H-M 'P 4/m m m'
_symmetry_Int_Tables_number 123
_symmetry_space_group_name_Hall '-P 4 2'
loop_
_atom_site_label
_atom_site_type_symbol
_atom_site_fract_x
_atom_site_fract_y
_atom_site_fract_z
_atom_site_occupancy
Be1 Be 0.000 0.000 0.000 1
Pt1 Pt 0.000 0.500 0.500 1
# formation energy = -0.408 eV per atom
# crystal system = tetragonal
# total magnetic moment = 0.000 μB/f.u.

---

(7)
# Tb6PmS8 PBE relaxed
data_Tb6PmS8
_chemical_formula_sum 'Tb24 Pm4 S32'
_cell_length_a 11.105
_cell_length_b 11.105
_cell_length_c 11.105
_cell_angle_alpha 90.00
_cell_angle_beta 90.00
_cell_angle_gamma 90.00
_symmetry_space_group_name_H-M 'F m -3 m'
_symmetry_Int_Tables_number 225
_symmetry_space_group_name_Hall '-F 4 2 3'
loop_
_atom_site_label
_atom_site_type_symbol
_atom_site_fract_x
_atom_site_fract_y
_atom_site_fract_z
_atom_site_occupancy
Tb1 Tb 0.000 0.250 0.250 1
Pm1 Pm 0.000 0.000 0.000 1
S1 S 0.000 0.000 0.255 1
S2 S 0.250 0.250 0.250 1
# uncorrected formation energy = -2049 meV/atom
# crystal system = cubic
# total magnetic moment = 0.000 μB/f.u.

---

(8)
# SeBr7 PBE relaxed
data_SeBr7
_chemical_formula_sum 'Se4 Br28'
_cell_length_a 9.319
_cell_length_b 9.319
_cell_length_c 9.319
_cell_angle_alpha 90.00
_cell_angle_beta 90.00
_cell_angle_gamma 90.00
_symmetry_space_group_name_H-M 'F m -3 m'
_symmetry_Int_Tables_number 225
_symmetry_space_group_name_Hall '-F 4 2 3'
loop_
_atom_site_label
_atom_site_type_symbol
_atom_site_fract_x
_atom_site_fract_y
_atom_site_fract_z
_atom_site_occupancy
Se1 Se 0.000 0.000 0.000 1
Br1 Br 0.000 0.000 0.500 1
Br2 Br 0.000 0.250 0.250 1
# uncorrected formation energy = 721 meV/atom
# crystal system = cubic
# total magnetic moment = 0.001 μB/f.u.

---

(9)
# Y2ZrMo PBE relaxed
data_Y2ZrMo
_chemical_formula_sum 'Y2 Zr1 Mo1'
_cell_length_a 3.536
_cell_length_b 3.536
_cell_length_c 8.134
_cell_angle_alpha 90.00
_cell_angle_beta 90.00
_cell_angle_gamma 90.00
_symmetry_space_group_name_H-M 'P 4 m m'
_symmetry_Int_Tables_number 99
loop_
_symmetry_equiv_pos_as_xyz
'x,y,z'
'-y,x,z'
'-x,-y,z'
'y,-x,z'
'-x,y,z'
'y,x,z'
'x,-y,z'
'-y,-x,z'
loop_
_atom_site_label
_atom_site_type_symbol
_atom_site_fract_x
_atom_site_fract_y
_atom_site_fract_z
_atom_site_occupancy
Y1 Y 0.000 0.000 0.000 1
Y2 Y 0.500 0.500 0.342 1
Zr1 Zr 0.000 0.000 0.608 1
Mo1 Mo 0.500 0.500 0.771 1
# formation energy = 0.122 eV per atom
# crystal system = tetragonal
# energy above the most stable polymorph in this dataset = 0.0000 eV per atom
# total magnetic moment = 0.000 μB/f.u.

---

(10)
# Sm2Ho3TmBi6 PBE relaxed
data_Sm2Ho3TmBi6
_chemical_formula_sum 'Sm4 Ho6 Tm2 Bi12'
_cell_length_a 19.562
_cell_length_b 4.489
_cell_length_c 8.978
_cell_angle_alpha 90.00
_cell_angle_beta 103.22
_cell_angle_gamma 90.00
_symmetry_space_group_name_H-M 'C 1 2/m 1'
_symmetry_Int_Tables_number 12
loop_
_symmetry_equiv_pos_as_xyz
'x,y,z'
'-x,-y,-z'
'-x,y,-z'
'x,-y,z'
'x+1/2,y+1/2,z'
'-x+1/2,-y+1/2,-z'
'-x+1/2,y+1/2,-z'
'x+1/2,-y+1/2,z'
loop_
_atom_site_label
_atom_site_type_symbol
_atom_site_fract_x
_atom_site_fract_y
_atom_site_fract_z
_atom_site_occupancy
Sm1 Sm 0.166 0.000 0.333 1
Ho1 Ho 0.000 0.500 0.500 1
Ho2 Ho 0.168 0.000 0.834 1
Tm1 Tm 0.000 0.500 0.000 1
Bi1 Bi 0.002 0.000 0.753 1
Bi2 Bi 0.165 0.500 0.587 1
Bi3 Bi 0.166 0.500 0.078 1
# formation energy = -0.854 eV per atom
# crystal system = monoclinic
# total magnetic moment = 0.000 μB/f.u.

---

(11)
# Sc4AlMo PBE relaxed
data_Sc4AlMo
_chemical_formula_sum 'Sc16 Al4 Mo4'
_cell_length_a 7.887
_cell_length_b 7.887
_cell_length_c 7.887
_cell_angle_alpha 90.00
_cell_angle_beta 90.00
_cell_angle_gamma 90.00
_symmetry_space_group_name_H-M 'F -4 3 m'
_symmetry_Int_Tables_number 216
_symmetry_space_group_name_Hall 'F -4 2 3'
loop_
_atom_site_label
_atom_site_type_symbol
_atom_site_fract_x
_atom_site_fract_y
_atom_site_fract_z
_atom_site_occupancy
Sc1 Sc 0.123 0.123 0.377 1
Al1 Al 0.000 0.000 0.000 1
Mo1 Mo 0.250 0.250 0.750 1
# formation energy = 0.436 eV per atom
# crystal system = cubic
# total magnetic moment = 0.000 μB/f.u.

---

(12)
# TiGeSbN2 PBE relaxed
data_TiGeSbN2
_chemical_formula_sum 'Ti1 Ge1 Sb1 N2'
_cell_length_a 3.854
_cell_length_b 3.854
_cell_length_c 5.459
_cell_angle_alpha 90.00
_cell_angle_beta 90.00
_cell_angle_gamma 90.00
_symmetry_space_group_name_H-M 'P 4/m m m'
_symmetry_Int_Tables_number 123
_symmetry_space_group_name_Hall '-P 4 2'
loop_
_atom_site_label
_atom_site_type_symbol
_atom_site_fract_x
_atom_site_fract_y
_atom_site_fract_z
_atom_site_occupancy
Ti1 Ti 0.000 0.000 0.000 1
Ge1 Ge 0.000 0.000 0.500 1
Sb1 Sb 0.500 0.500 0.000 1
N1 N 0.000 0.500 0.500 1
# uncorrected formation energy = 1176 meV/atom
# crystal system = tetragonal
# total magnetic moment = 0.000 μB/f.u.

---

| no. | N(E_F) (states/eV/cell) |
| --- | --- |
| 1 | 3.60 |
| 2 | 33.34 |
| 3 | 26.92 |
| 4 | 4.14 |
| 5 | 5.71 |
| 6 | 1.76 |
| 7 | 23.82 |
| 8 | 49.73 |
| 9 | 5.12 |
| 10 | 4.01 |
| 11 | 22.98 |
| 12 | 5.37 |